The following is a GGA+U calculation of a geometry-optimized MnVIn2F structure, from Alexandria.

**Volume**: 109 Å³ per cell
**Total magnetic moment**: 7.72 μB per cell
**DFT total energy**: -4.417 eV/atom

Lattice parameters (Å, degrees): 5.165 4.070 5.165 90.00 90.00 90.00
Site moments in Bohr magnetons follow the coordinates.
Fractional positions:
V 0.500 0.500 0.500  2.85
Mn 0.000 0.500 0.000  4.53
F 0.000 0.000 0.000  0.03
In 0.000 0.000 0.500  -0.06
In 0.500 0.000 0.000  -0.10